No. 1
! PBE AsSeCl4, optimized geometry; values from VASP
! - E_form (uncorrected) (eV/f.u.) = 5.91
! - total moment (μB/f.u.) = 1.87
! - VASP energy (eV/cell) = -9.6
&SYSTEM
  ibrav = 0, nat = 6, ntyp = 3
/
ATOMIC_SPECIES
Cl 35.45 Cl.upf
Se 78.96 Se.upf
As 74.92 As.upf
ATOMIC_POSITIONS angstrom
Cl 3.942 -6.572 1.783
Cl 2.106 -4.362 2.195
Cl 3.679 -5.375 4.414
Cl 1.514 -6.970 3.323
Se 4.215 -8.730 4.393
As 0.000 0.000 0.000
CELL_PARAMETERS angstrom
3.140 -2.022 4.429
-1.183 -5.206 2.251
3.663 -4.412 -0.823

No. 2
! PBE AsSeCl3, optimized geometry; values from VASP
! - E_form (uncorrected) (eV/f.u.) = 0.55
! - total moment (μB/f.u.) = 2.13
! - VASP energy (eV/cell) = -13.1
! - offset from the most stable computed form (meV per atom) = 569
&SYSTEM
  ibrav = 0, nat = 5, ntyp = 3
/
ATOMIC_SPECIES
Cl 35.45 Cl.upf
As 74.92 As.upf
Se 78.96 Se.upf
ATOMIC_POSITIONS angstrom
Cl 0.000 2.535 0.000
Cl 0.000 0.000 2.535
Cl 2.535 0.000 0.000
As 0.000 0.000 0.000
Se 2.535 2.535 2.535
CELL_PARAMETERS angstrom
5.071 0.000 0.000
0.000 5.071 0.000
0.000 0.000 5.071

No. 3
! PBE As2Se2Cl, optimized geometry; values from VASP
! - E_form (uncorrected) (eV/f.u.) = -1.20
! - total moment (μB/f.u.) = 0.00
! - VASP energy (eV/cell) = -38.6
! - offset from the most stable computed form (meV per atom) = 0
&SYSTEM
  ibrav = 0, nat = 10, ntyp = 3
/
ATOMIC_SPECIES
Se 78.96 Se.upf
As 74.92 As.upf
Cl 35.45 Cl.upf
ATOMIC_POSITIONS angstrom
Se 19.366 10.263 6.113
Se 3.068 1.006 1.286
Se 12.098 5.538 5.317
Se 10.336 5.731 2.081
As 14.091 4.841 6.465
As 11.258 7.887 2.873
As 11.176 3.382 4.526
As 8.343 6.428 0.934
Cl 16.198 8.654 3.738
Cl 6.236 2.615 3.661
CELL_PARAMETERS angstrom
9.342 1.940 1.138
6.750 8.441 0.390
6.343 0.888 5.871

No. 4
! PBE AsSeCl3, optimized geometry; values from VASP
! - E_form (uncorrected) (eV/f.u.) = -2.29
! - total moment (μB/f.u.) = 1.00
! - VASP energy (eV/cell) = -31.9
! - offset from the most stable computed form (meV per atom) = 0
&SYSTEM
  ibrav = 0, nat = 10, ntyp = 3
/
ATOMIC_SPECIES
Cl 35.45 Cl.upf
Se 78.96 Se.upf
As 74.92 As.upf
ATOMIC_POSITIONS angstrom
Cl 14.012 5.887 3.330
Cl 4.864 1.562 0.132
Cl 1.507 1.562 0.130
Cl 7.354 2.980 3.334
Cl 9.033 5.888 3.326
Cl 3.186 4.470 0.122
Se 11.520 2.533 4.252
Se 11.529 2.506 6.451
As 7.358 0.115 6.322
As 7.354 4.922 4.383
CELL_PARAMETERS angstrom
8.337 -0.001 0.004
4.167 7.194 -0.016
4.172 -2.413 7.248

No. 5
! PBE As4SeCl, optimized geometry; values from VASP
! - E_form (uncorrected) (eV/f.u.) = 2.31
! - total moment (μB/f.u.) = 0.00
! - VASP energy (eV/cell) = -21.6
&SYSTEM
  ibrav = 0, nat = 6, ntyp = 3
/
ATOMIC_SPECIES
As 74.92 As.upf
Cl 35.45 Cl.upf
Se 78.96 Se.upf
ATOMIC_POSITIONS angstrom
As 4.384 -3.455 -0.028
As 5.472 -5.404 1.134
As 5.628 -5.184 -1.368
As 6.892 -3.593 0.117
Cl 8.391 -6.614 -0.054
Se 0.000 0.000 0.000
CELL_PARAMETERS angstrom
5.797 -0.319 0.335
2.514 -4.503 2.687
2.876 -3.996 -3.095

No. 6
! PBE As2Se2Cl, optimized geometry; values from VASP
! - E_form (uncorrected) (eV/f.u.) = -0.51
! - total moment (μB/f.u.) = 0.00
! - VASP energy (eV/cell) = -18.6
! - offset from the most stable computed form (meV per atom) = 138
&SYSTEM
  ibrav = 0, nat = 5, ntyp = 3
/
ATOMIC_SPECIES
Cl 35.45 Cl.upf
As 74.92 As.upf
Se 78.96 Se.upf
ATOMIC_POSITIONS angstrom
Cl 0.000 0.000 0.000
As 3.530 2.077 2.762
As 2.426 1.428 9.253
Se 1.396 0.822 3.548
Se 4.559 2.683 8.467
CELL_PARAMETERS angstrom
3.887 0.000 0.661
1.887 3.398 0.661
0.182 0.107 10.694

No. 7
! PBE AsSe3Cl, optimized geometry; values from VASP
! - E_form (uncorrected) (eV/f.u.) = 5.28
! - total moment (μB/f.u.) = 0.00
! - VASP energy (eV/cell) = -11.7
! - offset from the most stable computed form (meV per atom) = 1204
&SYSTEM
  ibrav = 0, nat = 5, ntyp = 3
/
ATOMIC_SPECIES
Cl 35.45 Cl.upf
Se 78.96 Se.upf
As 74.92 As.upf
ATOMIC_POSITIONS angstrom
Cl 0.000 0.000 0.000
Se 0.000 2.483 0.000
Se 2.483 0.000 0.000
Se 0.000 0.000 2.483
As 2.483 2.483 2.483
CELL_PARAMETERS angstrom
4.965 0.000 0.000
0.000 4.965 0.000
0.000 0.000 4.965

No. 8
! PBE SiAsSe2Cl, optimized geometry; values from VASP
! - E_form (uncorrected) (eV/f.u.) = 5.74
! - total moment (μB/f.u.) = 1.14
! - VASP energy (eV/cell) = -13.1
! - offset from the most stable computed form (meV per atom) = 688
&SYSTEM
  ibrav = 0, nat = 5, ntyp = 4
/
ATOMIC_SPECIES
Cl 35.45 Cl.upf
As 74.92 As.upf
Se 78.96 Se.upf
Si 28.09 Si.upf
ATOMIC_POSITIONS angstrom
Cl 0.000 0.000 0.000
As 0.000 0.000 2.424
Se 2.515 0.000 0.000
Se 0.000 2.515 0.000
Si 2.515 2.515 2.424
CELL_PARAMETERS angstrom
5.031 0.000 0.000
0.000 5.031 0.000
0.000 0.000 4.849